*one*
A relaxed HoTm2Sc2 crystal, computed with PBE.

Cell lengths 8.9716, 8.9716, 3.5185 Å; angles 90.00, 90.00, 90.00 degrees
With the nearest neighbours (Å) after each atom.
Sites, in units of the cell vectors:
Ho 0.0000 0.0000 0.0000  2 Ho 3.52, 4 Sc 3.57, 8 Tm 3.75
Ho 0.5000 0.5000 0.0000  2 Ho 3.52, 4 Sc 3.57, 8 Tm 3.75
Tm 0.3251 0.8251 0.5000  6 Sc 3.13-3.22
Tm 0.8251 0.6749 0.5000  6 Sc 3.13-3.22
Tm 0.6749 0.1749 0.5000  6 Sc 3.13-3.22
Tm 0.1749 0.3251 0.5000  6 Sc 3.13-3.22
Sc 0.1211 0.6211 0.0000  1 Sc 3.07, 6 Tm 3.13-3.22
Sc 0.6211 0.8789 0.0000  1 Sc 3.07, 6 Tm 3.13-3.22
Sc 0.8789 0.3789 0.0000  1 Sc 3.07, 6 Tm 3.13-3.22
Sc 0.3789 0.1211 0.0000  1 Sc 3.07, 6 Tm 3.13-3.22

Summary:
ρ	7.0	Mg/m³
DOS at the Fermi energy	9.21	states/eV/cell
space group	No. 127
calculated volume	283.2	Å³/cell


*two*
A relaxed HoTm2Sc2 crystal, computed with PBE.

Cell lengths 5.9431, 6.8619, 13.8571 Å; angles 90.00, 98.09, 90.00 degrees
With the nearest neighbours (Å) after each atom.
Sites, in units of the cell vectors:
Ho 0.3505 0.3766 0.3033  4 Sc 3.34-3.42, 6 Tm 3.41-3.45, 2 Ho 3.44
Ho 0.6495 0.6234 0.6967  4 Sc 3.34-3.42, 6 Tm 3.41-3.45, 2 Ho 3.44
Ho 0.8505 0.1234 0.3033  4 Sc 3.34-3.42, 6 Tm 3.41-3.45, 2 Ho 3.44
Ho 0.1495 0.8766 0.6967  4 Sc 3.34-3.42, 6 Tm 3.41-3.45, 2 Ho 3.44
Tm 0.6191 0.3759 0.0987  4 Tm 3.36-3.44, 6 Sc 3.36-3.45, 2 Ho 3.44
Tm 0.1191 0.1241 0.0987  4 Tm 3.36-3.44, 6 Sc 3.36-3.45, 2 Ho 3.44
Tm 0.8809 0.8759 0.9013  4 Tm 3.36-3.44, 6 Sc 3.36-3.45, 2 Ho 3.44
Tm 0.3809 0.6241 0.9013  4 Tm 3.36-3.44, 6 Sc 3.36-3.45, 2 Ho 3.44
Tm 0.8542 0.6267 0.3027  5 Sc 3.35-3.41, 4 Ho 3.41-3.45, 3 Tm 3.42-3.43
Tm 0.3542 0.8733 0.3027  5 Sc 3.35-3.41, 4 Ho 3.41-3.45, 3 Tm 3.42-3.43
Tm 0.6458 0.1267 0.6973  5 Sc 3.35-3.41, 4 Ho 3.41-3.45, 3 Tm 3.42-3.43
Tm 0.1458 0.3733 0.6973  5 Sc 3.35-3.41, 4 Ho 3.41-3.45, 3 Tm 3.42-3.43
Sc 0.6153 0.8740 0.1000  8 Tm 3.36-3.45, 3 Sc 3.39-3.42, 1 Ho 3.42
Sc 0.1153 0.6260 0.1000  8 Tm 3.36-3.45, 3 Sc 3.39-3.42, 1 Ho 3.42
Sc 0.8847 0.3740 0.9000  8 Tm 3.36-3.45, 3 Sc 3.39-3.42, 1 Ho 3.42
Sc 0.3847 0.1260 0.9000  8 Tm 3.36-3.45, 3 Sc 3.39-3.42, 1 Ho 3.42
Sc 0.7501 0.3750 0.4998  3 Ho 3.34-3.35, 3 Tm 3.35-3.36, 6 Sc 3.43
Sc 0.2501 0.1250 0.4998  3 Ho 3.34-3.35, 3 Tm 3.35-3.36, 6 Sc 3.43
Sc 0.7499 0.8750 0.5002  3 Ho 3.34-3.35, 3 Tm 3.35-3.36, 6 Sc 3.43
Sc 0.2499 0.6250 0.5002  3 Ho 3.34-3.35, 3 Tm 3.35-3.36, 6 Sc 3.43

Summary:
ρ	7.0	Mg/m³
DOS at the Fermi energy	31.30	states/eV/cell
space group	No. 14
calculated volume	559.5	Å³/cell


*two* ends up most stable, edging out the next structure by 33 meV/atom.


*one*
A relaxed Ho12Tm7Sc crystal, computed with PBE.

Cell lengths 6.0304, 11.2165, 11.2165 Å; angles 116.86, 100.32, 100.32 degrees
With the nearest neighbours (Å) after each atom.
Sites, in units of the cell vectors:
Ho 0.0850 0.5835 0.1706  4 Ho 3.26-3.65, 2 Tm 3.28-3.29
Ho 0.0856 0.1706 0.5871  4 Ho 3.26-3.65, 2 Tm 3.28-3.29
Ho 0.5808 0.6495 0.0034  4 Tm 3.25-3.51, 1 Ho 3.28
Ho 0.4225 0.0034 0.3539  4 Tm 3.25-3.51, 1 Ho 3.28
Ho 0.4985 0.4129 0.5835  4 Ho 3.26-3.65, 2 Tm 3.28-3.29
Ho 0.0687 0.6461 0.6495  4 Tm 3.25-3.51, 1 Ho 3.28
Ho 0.9313 0.3539 0.3505  4 Tm 3.25-3.51, 1 Ho 3.28
Ho 0.5015 0.5871 0.4165  4 Ho 3.26-3.65, 2 Tm 3.28-3.29
Ho 0.5775 0.9966 0.6461  4 Tm 3.25-3.51, 1 Ho 3.28
Ho 0.4192 0.3505 0.9966  4 Tm 3.25-3.51, 1 Ho 3.28
Ho 0.9144 0.8294 0.4129  4 Ho 3.26-3.65, 2 Tm 3.28-3.29
Ho 0.9150 0.4165 0.8294  4 Ho 3.26-3.65, 2 Tm 3.28-3.29
Tm 0.1173 0.7596 0.0031  1 Sc 2.92, 1 Tm 3.24, 2 Ho 3.25
Tm 0.8858 0.0031 0.2435  1 Sc 2.92, 1 Tm 3.24, 2 Ho 3.25
Tm 0.6424 0.7565 0.7596  1 Sc 2.92, 1 Tm 3.24, 2 Ho 3.25
Tm 0.5000 0.0000 0.0000  2 Sc 3.02, 6 Tm 3.24
Tm 0.3576 0.2435 0.2404  1 Sc 2.92, 1 Tm 3.24, 2 Ho 3.25
Tm 0.1142 0.9969 0.7565  1 Sc 2.92, 1 Tm 3.24, 2 Ho 3.25
Tm 0.8827 0.2404 0.9969  1 Sc 2.92, 1 Tm 3.24, 2 Ho 3.25
Sc 0.0000 0.0000 0.0000  8 Tm 2.92-3.02

Summary:
ρ	8.4	Mg/m³
DOS at the Fermi energy	28.13	states/eV/cell
space group	No. 148
calculated volume	635.9	Å³/cell


*two*
A relaxed Ho12Tm7Sc crystal, computed with PBE.

Cell lengths 9.1431, 9.1431, 9.1431 Å; angles 107.82, 107.82, 107.82 degrees
With the nearest neighbours (Å) after each atom.
Sites, in units of the cell vectors:
Ho 0.7861 0.3225 0.6138  3 Ho 3.28-3.59, 4 Tm 3.29-3.54
Ho 0.6775 0.3862 0.2139  3 Ho 3.28-3.59, 4 Tm 3.29-3.54
Ho 0.4036 0.0574 0.3007  4 Tm 3.27-3.58, 3 Ho 3.28-3.59, 1 Sc 3.63
Ho 0.9426 0.6993 0.5964  4 Tm 3.27-3.58, 3 Ho 3.28-3.59, 1 Sc 3.63
Ho 0.3862 0.2139 0.6775  3 Ho 3.28-3.59, 4 Tm 3.29-3.54
Ho 0.6993 0.5964 0.9426  4 Tm 3.27-3.58, 3 Ho 3.28-3.59, 1 Sc 3.63
Ho 0.3007 0.4036 0.0574  4 Tm 3.27-3.58, 3 Ho 3.28-3.59, 1 Sc 3.63
Ho 0.6138 0.7861 0.3225  3 Ho 3.28-3.59, 4 Tm 3.29-3.54
Ho 0.0574 0.3007 0.4036  4 Tm 3.27-3.58, 3 Ho 3.28-3.59, 1 Sc 3.63
Ho 0.5964 0.9426 0.6993  4 Tm 3.27-3.58, 3 Ho 3.28-3.59, 1 Sc 3.63
Ho 0.3225 0.6138 0.7861  3 Ho 3.28-3.59, 4 Tm 3.29-3.54
Ho 0.2139 0.6775 0.3862  3 Ho 3.28-3.59, 4 Tm 3.29-3.54
Tm 0.0989 0.6856 0.9976  1 Sc 3.26, 6 Ho 3.27-3.56, 3 Tm 3.34-3.49
Tm 0.3144 0.0024 0.9011  1 Sc 3.26, 6 Ho 3.27-3.56, 3 Tm 3.34-3.49
Tm 0.0024 0.9011 0.3144  1 Sc 3.26, 6 Ho 3.27-3.56, 3 Tm 3.34-3.49
Tm 0.5000 0.5000 0.5000  12 Ho 3.54-3.58
Tm 0.9976 0.0989 0.6856  1 Sc 3.26, 6 Ho 3.27-3.56, 3 Tm 3.34-3.49
Tm 0.6856 0.9976 0.0989  1 Sc 3.26, 6 Ho 3.27-3.56, 3 Tm 3.34-3.49
Tm 0.9011 0.3144 0.0024  1 Sc 3.26, 6 Ho 3.27-3.56, 3 Tm 3.34-3.49
Sc 0.0000 0.0000 0.0000  6 Tm 3.26, 6 Ho 3.63

Summary:
ρ	8.6	Mg/m³
DOS at the Fermi energy	40.47	states/eV/cell
space group	No. 148
calculated volume	621.8	Å³/cell


*two* ends up most stable, edging out the next structure by 68 meV/atom.


*one*
A relaxed Ho7TmSc4 crystal, computed with PBE.

Cell lengths 5.7127, 8.9792, 8.2236 Å; angles 65.66, 69.68, 71.45 degrees
With the nearest neighbours (Å) after each atom.
Sites, in units of the cell vectors:
Ho 0.7928 0.8814 0.5330  6 Ho 3.44-3.52, 4 Sc 3.53-3.73
Ho 0.2072 0.1186 0.4670  6 Ho 3.44-3.52, 4 Sc 3.53-3.73
Ho 0.0872 0.5566 0.2690  5 Sc 3.23-3.42, 3 Ho 3.36-3.52
Ho 0.9128 0.4434 0.7310  5 Sc 3.23-3.42, 3 Ho 3.36-3.52
Ho 0.2430 0.7223 0.7916  4 Sc 3.04-3.27, 1 Tm 3.28
Ho 0.5000 0.0000 0.0000  2 Tm 2.86, 2 Sc 2.93
Ho 0.7570 0.2777 0.2084  4 Sc 3.04-3.27, 1 Tm 3.28
Tm 0.0000 0.0000 0.0000  2 Ho 2.86
Sc 0.5537 0.2969 0.5956  2 Ho 3.05-3.28, 2 Sc 3.21-3.27
Sc 0.4463 0.7031 0.4044  2 Ho 3.05-3.28, 2 Sc 3.21-3.27
Sc 0.6684 0.6534 0.0098  5 Ho 2.93-3.27, 1 Sc 3.21
Sc 0.3316 0.3466 0.9902  5 Ho 2.93-3.27, 1 Sc 3.21

Summary:
ρ	7.1	Mg/m³
DOS at the Fermi energy	19.92	states/eV/cell
space group	No. 12
calculated volume	352.8	Å³/cell


*two*
A relaxed Ho7TmSc4 crystal, computed with PBE.

Cell lengths 6.9243, 9.1620, 8.5044 Å; angles 81.04, 89.93, 40.92 degrees
With the nearest neighbours (Å) after each atom.
Sites, in units of the cell vectors:
Ho 0.7510 0.5031 0.0046  3 Sc 3.40-3.46, 7 Ho 3.41-3.52, 2 Tm 3.45-3.50
Ho 0.2490 0.4969 0.9954  3 Sc 3.40-3.46, 7 Ho 3.41-3.52, 2 Tm 3.45-3.50
Ho 0.9716 0.2834 0.6610  6 Sc 3.32-3.53, 5 Ho 3.37-3.51, 1 Tm 3.46
Ho 0.0284 0.7166 0.3390  6 Sc 3.32-3.53, 5 Ho 3.37-3.51, 1 Tm 3.46
Ho 0.2227 0.7775 0.6637  5 Sc 3.36-3.49, 6 Ho 3.37-3.51, 1 Tm 3.43
Ho 0.5000 0.0000 0.0000  4 Sc 3.41-3.44, 6 Ho 3.43-3.47, 2 Tm 3.46
Ho 0.7773 0.2225 0.3363  5 Sc 3.36-3.49, 6 Ho 3.37-3.51, 1 Tm 3.43
Tm 0.0000 0.0000 0.0000  10 Ho 3.43-3.50, 2 Sc 3.44
Sc 0.5297 0.7244 0.3374  3 Sc 3.32-3.49, 8 Ho 3.34-3.53, 1 Tm 3.44
Sc 0.4703 0.2756 0.6626  3 Sc 3.32-3.49, 8 Ho 3.34-3.53, 1 Tm 3.44
Sc 0.7168 0.7831 0.6604  4 Sc 3.30-3.49, 8 Ho 3.32-3.46
Sc 0.2832 0.2169 0.3396  4 Sc 3.30-3.49, 8 Ho 3.32-3.46

Summary:
ρ	7.3	Mg/m³
DOS at the Fermi energy	17.09	states/eV/cell
space group	No. 2
calculated volume	343.4	Å³/cell


*two* ends up most stable, edging out the next structure by 238 meV/atom.